(1)
## CdAs2Pt (GGA-PBE)

Data for crystalline CdAs2Pt at its relaxed geometry.

Lattice parameters (Å, degrees): 3.081 3.080 8.282 90.00 90.61 90.00
Fractional coordinates of all 4 atoms:
Cd1 0.000 0.000 0.000
As1 0.524 0.500 0.254
As2 0.979 0.000 0.579
Pt1 0.488 0.500 0.753

Properties
ΔE_f: -0.01 eV/atom
calculated volume: 19.7 Å³ per atom
total magnetization: 0.0 μB/f.u.
N(E_F): 0.327 states/eV/atom

(2)
## CdAs2Pt (GGA-PBE)

Data for crystalline CdAs2Pt at its relaxed geometry.

Lattice parameters (Å, degrees): 5.745 5.745 5.293 110.05 110.05 29.73
Fractional coordinates of all 4 atoms:
Cd1 0.000 0.000 0.000
As1 0.653 0.653 0.570
As2 0.842 0.842 0.421
Pt1 0.262 0.262 0.995

Properties
ΔE_f: -0.12 eV/atom
calculated volume: 20.3 Å³ per atom
total magnetization: 0.0 μB/f.u.
N(E_F): 0.246 states/eV/atom

(3)
## CdAsPt4 (GGA-PBE)

Data for crystalline CdAsPt4 at its relaxed geometry.

Lattice parameters (Å, degrees): 5.339 5.339 5.339 60.00 60.00 60.00
Fractional coordinates of all 6 atoms:
Cd1 0.000 0.000 0.000
As1 0.250 0.250 0.250
Pt1 0.125 0.625 0.625
Pt2 0.625 0.125 0.625
Pt3 0.625 0.625 0.125
Pt4 0.625 0.625 0.625

Properties
ΔE_f: 0.05 eV/atom
calculated volume: 17.9 Å³ per atom
total magnetization: 0.0 μB/f.u.
N(E_F): 1.463 states/eV/atom

(4)
## CdAsPt (GGA-PBE)

Data for crystalline CdAsPt at its relaxed geometry.

Lattice parameters (Å, degrees): 4.448 4.448 7.717 114.02 114.02 62.34
Fractional coordinates of all 6 atoms:
Cd1 0.116 0.116 0.386
Cd2 0.884 0.884 0.614
As1 0.335 0.335 0.150
As2 0.665 0.665 0.850
Pt1 0.314 0.314 0.807
Pt2 0.686 0.686 0.193

Properties
ΔE_f: -0.27 eV/atom
calculated volume: 19.8 Å³ per atom
total magnetization: 0.0 μB/f.u.
N(E_F): 0.312 states/eV/atom

(5)
## CdAsPt (GGA-PBE)

Data for crystalline CdAsPt at its relaxed geometry.

Lattice parameters (Å, degrees): 4.443 4.443 4.443 60.00 60.00 60.00
Fractional coordinates of all 3 atoms:
Cd1 0.000 0.000 0.000
As1 0.500 0.500 0.500
Pt1 0.750 0.750 0.750

Properties
ΔE_f: -0.20 eV/atom
calculated volume: 20.7 Å³ per atom
total magnetization: 0.0 μB/f.u.
N(E_F): 0.756 states/eV/atom

(6)
## CdAs2Pt (GGA-PBE)

Data for crystalline CdAs2Pt at its relaxed geometry.

Lattice parameters (Å, degrees): 4.642 4.642 3.623 90.19 90.19 105.78
Fractional coordinates of all 4 atoms:
Cd1 0.000 0.000 0.000
As1 0.000 0.500 0.500
As2 0.500 0.000 0.500
Pt1 0.500 0.500 0.000

Properties
ΔE_f: 0.10 eV/atom
calculated volume: 18.8 Å³ per atom
total magnetization: 0.0 μB/f.u.
N(E_F): 0.409 states/eV/atom

(7)
## CdAs2Pt (GGA-PBE)

Data for crystalline CdAs2Pt at its relaxed geometry.

Lattice parameters (Å, degrees): 4.090 4.090 4.477 90.00 90.00 90.00
Fractional coordinates of all 4 atoms:
Cd1 0.000 0.000 0.000
As1 0.000 0.500 0.500
As2 0.500 0.000 0.500
Pt1 0.500 0.500 0.000

Properties
ΔE_f: 0.11 eV/atom
calculated volume: 18.7 Å³ per atom
total magnetization: 0.0 μB/f.u.
N(E_F): 0.312 states/eV/atom

(8)
## CdAs4Pt (GGA-PBE)

Data for crystalline CdAs4Pt at its relaxed geometry.

Lattice parameters (Å, degrees): 5.530 5.530 5.530 60.00 60.00 60.00
Fractional coordinates of all 6 atoms:
Cd1 0.000 0.000 0.000
As1 0.374 0.374 0.374
As2 0.374 0.374 0.877
As3 0.374 0.877 0.374
As4 0.877 0.374 0.374
Pt1 0.750 0.750 0.750

Properties
ΔE_f: 0.51 eV/atom
calculated volume: 19.9 Å³ per atom
total magnetization: 0.0 μB/f.u.
N(E_F): 0.533 states/eV/atom

(9)
## CdAsPt2 (GGA-PBE)

Data for crystalline CdAsPt2 at its relaxed geometry.

Lattice parameters (Å, degrees): 5.878 5.878 5.878 103.21 103.21 122.90
Fractional coordinates of all 8 atoms:
Cd1 0.000 0.000 0.000
Cd2 0.750 0.250 0.500
As1 0.250 0.750 0.500
As2 0.500 0.500 0.000
Pt1 0.170 0.625 0.045
Pt2 0.375 0.420 0.545
Pt3 0.580 0.125 0.955
Pt4 0.875 0.830 0.455

Properties
ΔE_f: -0.07 eV/atom
calculated volume: 18.7 Å³ per atom
total magnetization: 0.0 μB/f.u.
N(E_F): 0.502 states/eV/atom

(10)
## CdAs2Pt (GGA-PBE)

Data for crystalline CdAs2Pt at its relaxed geometry.

Lattice parameters (Å, degrees): 6.999 6.999 6.999 128.44 128.44 75.91
Fractional coordinates of all 8 atoms:
Cd1 0.000 0.000 0.000
Cd2 0.750 0.250 0.500
As1 0.167 0.625 0.042
As2 0.375 0.417 0.542
As3 0.583 0.125 0.958
As4 0.875 0.833 0.458
Pt1 0.250 0.750 0.500
Pt2 0.500 0.500 0.000

Properties
ΔE_f: -0.01 eV/atom
calculated volume: 25.6 Å³ per atom
total magnetization: 0.0 μB/f.u.
N(E_F): 0.533 states/eV/atom

(11)
## Cd3AsPt (GGA-PBE)

Data for crystalline Cd3AsPt at its relaxed geometry.

Lattice parameters (Å, degrees): 5.111 5.111 5.111 90.00 90.00 90.00
Fractional coordinates of all 5 atoms:
Cd1 0.000 0.000 0.500
Cd2 0.000 0.500 0.000
Cd3 0.500 0.000 0.000
As1 0.000 0.000 0.000
Pt1 0.500 0.500 0.500

Properties
ΔE_f: 0.61 eV/atom
calculated volume: 26.7 Å³ per atom
total magnetization: 0.0 μB/f.u.
N(E_F): 0.700 states/eV/atom

(12)
## CdAs2Pt (GGA-PBE)

Data for crystalline CdAs2Pt at its relaxed geometry.

Lattice parameters (Å, degrees): 5.374 5.374 5.374 137.15 131.64 66.58
Fractional coordinates of all 4 atoms:
Cd1 0.000 0.000 0.000
As1 0.431 0.431 0.000
As2 0.727 0.227 0.500
Pt1 0.248 0.748 0.500

Properties
ΔE_f: 0.09 eV/atom
calculated volume: 19.4 Å³ per atom
total magnetization: 0.0 μB/f.u.
N(E_F): 0.366 states/eV/atom

(13)
## CdAsPt3 (GGA-PBE)

Data for crystalline CdAsPt3 at its relaxed geometry.

Lattice parameters (Å, degrees): 4.687 4.687 4.687 90.00 90.00 90.00
Fractional coordinates of all 5 atoms:
Cd1 0.000 0.000 0.000
As1 0.500 0.500 0.500
Pt1 0.000 0.500 0.500
Pt2 0.500 0.000 0.500
Pt3 0.500 0.500 0.000

Properties
ΔE_f: 0.26 eV/atom
calculated volume: 20.6 Å³ per atom
total magnetization: 0.0 μB/f.u.
N(E_F): 0.800 states/eV/atom

(14)
## CdAsPt2 (GGA-PBE)

Data for crystalline CdAsPt2 at its relaxed geometry.

Lattice parameters (Å, degrees): 5.486 5.486 5.486 143.36 133.87 60.30
Fractional coordinates of all 4 atoms:
Cd1 0.000 0.000 0.000
As1 0.739 0.239 0.500
Pt1 0.288 0.788 0.500
Pt2 0.548 0.548 0.000

Properties
ΔE_f: -0.16 eV/atom
calculated volume: 17.6 Å³ per atom
total magnetization: 0.0 μB/f.u.
N(E_F): 0.423 states/eV/atom

(15)
## CdAsPt (GGA-PBE)

Data for crystalline CdAsPt at its relaxed geometry.

Lattice parameters (Å, degrees): 6.120 6.120 6.120 152.10 147.21 43.58
Fractional coordinates of all 3 atoms:
Cd1 0.000 0.000 0.000
As1 0.289 0.289 0.000
Pt1 0.669 0.669 0.000

Properties
ΔE_f: -0.11 eV/atom
calculated volume: 19.3 Å³ per atom
total magnetization: 0.0 μB/f.u.
N(E_F): 0.567 states/eV/atom

(16)
## CdAsPt2 (GGA-PBE)

Data for crystalline CdAsPt2 at its relaxed geometry.

Lattice parameters (Å, degrees): 9.131 9.131 9.131 19.42 19.42 19.42
Fractional coordinates of all 4 atoms:
Cd1 0.000 0.000 0.000
As1 0.769 0.769 0.769
Pt1 0.250 0.250 0.250
Pt2 0.501 0.501 0.501

Properties
ΔE_f: -0.05 eV/atom
calculated volume: 18.4 Å³ per atom
total magnetization: 0.0 μB/f.u.
N(E_F): 0.201 states/eV/atom

(17)
## Cd3AsPt (GGA-PBE)

Data for crystalline Cd3AsPt at its relaxed geometry.

Lattice parameters (Å, degrees): 5.152 5.152 5.152 90.00 90.00 90.00
Fractional coordinates of all 5 atoms:
Cd1 0.000 0.000 0.500
Cd2 0.000 0.500 0.000
Cd3 0.500 0.000 0.000
As1 0.500 0.500 0.500
Pt1 0.000 0.000 0.000

Properties
ΔE_f: 0.30 eV/atom
calculated volume: 27.4 Å³ per atom
total magnetization: 0.0 μB/f.u.
N(E_F): 0.719 states/eV/atom

(18)
## CdAsPt2 (GGA-PBE)

Data for crystalline CdAsPt2 at its relaxed geometry.

Lattice parameters (Å, degrees): 4.628 4.628 4.628 60.00 60.00 60.00
Fractional coordinates of all 4 atoms:
Cd1 0.000 0.000 0.000
As1 0.250 0.250 0.250
Pt1 0.500 0.500 0.500
Pt2 0.750 0.750 0.750

Properties
ΔE_f: 0.05 eV/atom
calculated volume: 17.5 Å³ per atom
total magnetization: 0.0 μB/f.u.
N(E_F): 0.511 states/eV/atom

(19)
## CdAsPt2 (GGA-PBE)

Data for crystalline CdAsPt2 at its relaxed geometry.

Lattice parameters (Å, degrees): 2.874 4.874 5.065 90.00 90.00 90.00
Fractional coordinates of all 4 atoms:
Cd1 0.000 0.000 0.000
As1 0.500 0.500 0.362
Pt1 0.500 0.000 0.504
Pt2 0.500 0.500 0.864

Properties
ΔE_f: -0.20 eV/atom
calculated volume: 17.7 Å³ per atom
total magnetization: 0.0 μB/f.u.
N(E_F): 0.553 states/eV/atom

(20)
## CdAs2Pt (GGA-PBE)

Data for crystalline CdAs2Pt at its relaxed geometry.

Lattice parameters (Å, degrees): 3.648 3.648 5.815 90.00 90.00 90.00
Fractional coordinates of all 4 atoms:
Cd1 0.000 0.000 0.000
As1 0.500 0.500 0.289
As2 0.500 0.500 0.711
Pt1 0.000 0.000 0.500

Properties
ΔE_f: 0.06 eV/atom
calculated volume: 19.3 Å³ per atom
total magnetization: 0.0 μB/f.u.
N(E_F): 0.588 states/eV/atom

In Ha/atom, the raw total energy values for the records above are, in order, -0.1497, -0.1539, -0.1801, -0.1521, -0.1496, -0.1457, -0.1452, -0.1377, -0.1648, -0.1496, -0.0763, -0.1459, -0.1646, -0.1679, -0.1461, -0.1638, -0.0877, -0.1602, -0.1694, -0.1472.